[1]
Material: In3SnPd3
Method: DFT, GGA-PBE
State: relaxed

Unit cell a=5.6939 b=5.7207 c=5.6939 alpha=109.57 beta=109.38 gamma=109.57
Closest atoms and distances in Å follow each position.
Fractional coordinates of all 7 atoms:
In  0.4998  0.0036  0.0000  6 Pd 2.85-2.86
In  0.5002  0.5038  0.5002  6 Pd 2.85-2.86
In  0.0000  0.0036  0.4998  6 Pd 2.85-2.86
Sn  0.0000  0.5030  0.0000  6 Pd 2.85
Pd  0.5001  0.5037  0.0000  6 In 2.85-2.86, 2 Sn 2.85
Pd  0.4999  0.0036  0.4999  6 In 2.85-2.86, 2 Sn 2.85
Pd  0.0000  0.5037  0.5001  6 In 2.85-2.86, 2 Sn 2.85

## Properties
symmetry: No. 166
formation energy from the elements: -0.374 eV per atom

***

[2]
Material: Ho5Ag2Sn
Method: DFT, GGA-PBE
State: relaxed

Unit cell a=7.9828 b=7.9828 c=8.7464 alpha=117.15 beta=117.15 gamma=90.00
Closest atoms and distances in Å follow each position.
Fractional coordinates of all 16 atoms:
Ho  0.5063  0.6945  0.7007  3 Ag 3.06-3.11, 2 Sn 3.30, 1 Ho 3.42
Ho  0.8055  0.9937  0.2993  3 Ag 3.06-3.11, 2 Sn 3.30, 1 Ho 3.42
Ho  0.0000  0.0000  0.0000  4 Ag 3.12, 2 Sn 3.34
Ho  0.5000  0.5000  0.0000  4 Ag 3.12, 2 Sn 3.34
Ho  0.1945  0.0063  0.7007  3 Ag 3.06-3.11, 2 Sn 3.30, 1 Ho 3.42
Ho  0.6945  0.1945  0.7007  3 Ag 3.06-3.11, 2 Sn 3.30, 1 Ho 3.42
Ho  0.0063  0.5063  0.7007  3 Ag 3.06-3.11, 2 Sn 3.30, 1 Ho 3.42
Ho  0.3055  0.8055  0.2993  3 Ag 3.06-3.11, 2 Sn 3.30, 1 Ho 3.42
Ho  0.9937  0.4937  0.2993  3 Ag 3.06-3.11, 2 Sn 3.30, 1 Ho 3.42
Ho  0.4937  0.3055  0.2993  3 Ag 3.06-3.11, 2 Sn 3.30, 1 Ho 3.42
Ag  0.1330  0.3670  0.0000  1 Ag 3.00, 8 Ho 3.06-3.12
Ag  0.6330  0.1330  0.0000  1 Ag 3.00, 8 Ho 3.06-3.12
Ag  0.3670  0.8670  0.0000  1 Ag 3.00, 8 Ho 3.06-3.12
Ag  0.8670  0.6330  0.0000  1 Ag 3.00, 8 Ho 3.06-3.12
Sn  0.7500  0.7500  0.5000  10 Ho 3.30-3.34
Sn  0.2500  0.2500  0.5000  10 Ho 3.30-3.34

## Properties
symmetry: No. 140
formation energy from the elements: -0.362 eV per atom

***

| no. | N(E_F) (states/eV/f.u.) | volume (Å³ per atom) |
| --- | --- | --- |
| 1 | 3.9 | 20.37 |
| 2 | 8.9 | 26.61 |